1.
Li2Hf2PaTe6 | GGA-PBE | optimized geometry

a = 7.028 Å, b = 7.028 Å, c = 7.616 Å
α = 98.73°, β = 98.73°, γ = 119.93°
Fractional positions:
Li: 0.161 0.839 0.000
Li: 0.839 0.161 0.000
Hf: 0.333 0.667 0.500
Hf: 0.667 0.333 0.500
Pa: 0.000 0.000 0.500
Te: 0.085 0.430 0.752
Te: 0.268 0.268 0.249
Te: 0.430 0.085 0.752
Te: 0.570 0.915 0.248
Te: 0.732 0.732 0.751
Te: 0.915 0.570 0.248

- Formation energy without anion corrections: -0.8390 eV per atom
- Total magnetic moment: 1.70 Bohr magnetons per cell

---

2.
InSbC2O | GGA-PBE | optimized geometry

a = 4.315 Å, b = 4.315 Å, c = 4.250 Å
α = 90.00°, β = 90.00°, γ = 90.00°
Fractional positions:
In: 0.000 0.000 0.000
Sb: 0.500 0.500 0.500
C: 0.000 0.500 0.000
C: 0.500 0.000 0.000
O: 0.000 0.000 0.500

- Formation energy without anion corrections: 1.8370 eV per atom
- Total magnetic moment: 1.72 Bohr magnetons per cell

---

3.
Ni6MoRh2 | GGA-PBE | optimized geometry

a = 4.510 Å, b = 4.510 Å, c = 6.338 Å
α = 103.11°, β = 103.11°, γ = 65.23°
Fractional positions:
Ni: 0.197 0.717 0.809
Ni: 0.261 0.261 0.026
Ni: 0.283 0.803 0.191
Ni: 0.717 0.197 0.809
Ni: 0.739 0.739 0.974
Ni: 0.803 0.283 0.191
Mo: 0.500 0.500 0.500
Rh: 0.175 0.175 0.587
Rh: 0.825 0.825 0.413

- Energy above the most stable polymorph in this dataset: 27 meV/atom
- Total magnetic moment: 2.37 Bohr magnetons per cell

---

Asked for DOS(E_F) across the records above, the calculation gives 8.30; 3.43; 15.41 states/eV/cell in order.